(one)
Density functional theory data (PBE) for crystalline ZrVTeN2 at its relaxed geometry.

abc: 4.126 4.126 5.987
angles: 90.00 90.00 90.00
Sites, in units of the cell vectors:
Zr 0.000 0.000 0.000
V 0.500 0.500 0.500
Te 0.000 0.000 0.500
N 0.000 0.500 0.000
N 0.500 0.000 0.000

Computed properties:
Its space group is P4/mmm, No. 123. The value obtained for the total magnetization is 0.023 μB/atom.



(two)
Density functional theory data (PBE) for crystalline ZrVTeN2 at its relaxed geometry.

abc: 3.937 3.937 5.222
angles: 90.00 90.00 90.00
Sites, in units of the cell vectors:
Zr 0.000 0.000 0.000
V 0.500 0.500 0.500
Te 0.500 0.500 0.000
N 0.000 0.500 0.500
N 0.500 0.000 0.500

Computed properties:
Its space group is P4/mmm, No. 123. The value obtained for the total magnetization is 0.000 μB/atom.



Least stable structure: (one)